No. 1
Computed, not measured: Tb2YIn3AgPd2 after structural relaxation at the PBE-GGA level of DFT.

a b c (Å): 3.820 7.829 7.829
angles (deg): 120.03 90.00 90.00
Element x y z (fractional)
Ag  0.500  0.000  0.000
In  0.000  0.732  0.000
In  0.000  0.268  0.268
In  0.000  0.000  0.732
Pd  0.000  0.667  0.333
Pd  0.000  0.333  0.667
Tb  0.500  0.410  0.000
Tb  0.500  0.000  0.410
Y  0.500  0.590  0.590

Values from the calculation:
Total magnetic moment = 0.002 μB/atom
Uncorrected energy = -4.82 eV/atom
Space-group type = Amm2, No. 38

=====

No. 2
Computed, not measured: RbBeTe3Pd after structural relaxation at the PBE-GGA level of DFT.

a b c (Å): 8.139 8.139 11.329
angles (deg): 90.00 90.00 150.87
Element x y z (fractional)
Be  0.539  0.461  0.250
Be  0.461  0.539  0.750
Pd  0.000  0.000  0.000
Pd  0.000  0.000  0.500
Rb  0.256  0.744  0.250
Rb  0.744  0.256  0.750
Te  0.608  0.392  0.053
Te  0.953  0.047  0.250
Te  0.608  0.392  0.447
Te  0.392  0.608  0.553
Te  0.047  0.953  0.750
Te  0.392  0.608  0.947

Values from the calculation:
Uncorrected energy = -3.68 eV/atom
Space-group type = Cmcm, No. 63

=====

No. 3
Computed, not measured: PmNbSi after structural relaxation at the PBE-GGA level of DFT.

a b c (Å): 4.860 4.860 4.860
angles (deg): 60.00 60.00 60.00
Each line ends with the local moment (μB).
Element x y z (fractional)
Nb  0.500  0.500  0.500  2.51
Pm  0.250  0.250  0.250  0.48
Si  0.000  0.000  0.000  -0.06

Values from the calculation:
Total magnetic moment = 1.217 μB/atom
Uncorrected energy = -5.71 eV/atom
Excess energy over the best structure of this formula in the dataset = 1.030 eV/atom
Space-group type = F-43m, No. 216